The following is a DFT calculation (PBE+U) of a geometry-optimized Pa2Cr2O5 structure.

Results
For the density of states at the Fermi level, the calculation gives 1.485 states/eV/f.u. Its space group is P4/mmm (123). The calculation puts the uncorrected energy at -78.63 eV/f.u.

Cell lengths 4.281, 4.281, 8.861 Å; angles 90.00, 90.00, 90.00 degrees
Site moments in Bohr magnetons follow the coordinates.
Sites, in units of the cell vectors:
O 0.500 0.000 0.727  0.01
Pa 0.000 0.000 0.742  0.06
Cr 0.500 0.500 0.500  4.57
Pa 0.000 0.000 0.258  0.06
O 0.000 0.000 0.500  0.01
O 0.500 0.000 0.273  0.01
O 0.000 0.500 0.273  0.01
Cr 0.500 0.500 0.000  4.54
O 0.000 0.500 0.727  0.01